# 1
Ac2PuAl9 (PBE, optimized geometry); formation energy from the elements = -0.247 eV/atom; final energy = -59.2 eV per formula unit; symmetry = R-3m (166); density of states at the Fermi level = 14.91 states/eV per cell
1.0
5.7616 0.0000 0.0000
2.8808 4.9897 0.0000
2.8808 1.6632 9.0674
Ac Al Pu
2 9 1
Cartesian
8.6423 4.9897 3.8008
2.8808 1.6632 5.2666
7.2224 4.1698 6.9282
5.7616 1.6396 6.9282
4.3007 2.4830 2.1391
4.3007 4.1698 6.9282
5.7616 3.3264 0.0317
5.7616 5.0133 2.1391
5.7616 3.3264 9.0356
7.2224 2.4830 2.1391
5.7616 3.3264 4.5337
0.0000 0.0000 0.0000



# 2
Ac2PuAlS6 (PBE, optimized geometry); final energy = -68.0 eV per formula unit; formation energy (no corrections) = -1.690 eV per atom; symmetry = C2/m (12); density of states at the Fermi level = 12.12 states/eV per cell
1.0
-1.2023 6.9323 1.0662
-6.1233 -0.5871 -3.0875
1.5904 -4.4516 5.3640
S Ac Pu Al
6 2 1 1
Cartesian
-3.1393 -2.8948 2.7875
0.0446 -2.5895 4.3929
-1.4497 2.1543 2.4654
-2.5959 4.7884 0.5552
-5.7799 4.4831 -1.0502
-4.2856 -0.2607 0.8773
-1.0423 -0.7990 2.2192
-4.6929 2.6926 1.1236
-3.0617 -0.2935 -1.5437
-0.6011 3.4662 0.5331



# 3
AcPuAlSi (PBE, optimized geometry); final energy = -28.1 eV per formula unit; formation energy (no corrections) = -0.123 eV per atom; symmetry = F-43m (216); density of states at the Fermi level = 9.00 states/eV per cell
1.0
-0.5326 3.6385 3.7674
-4.3570 2.9471 0.2162
-3.4774 -0.7238 3.8858
Al Pu Ac Si
1 1 1 1
Cartesian
-4.1835 2.9309 3.9347
-2.0917 1.4654 1.9674
-6.2752 4.3963 5.9021
0.0000 0.0000 0.0000